VASP calculation (GGA-PBE) on a geometry-optimized ScRhW2 structure.

```
ScRhW2
1.0
4.519 0.000 0.000
2.259 3.913 0.000
2.259 1.304 3.689
W Sc Rh
2 1 1
Cartesian
2.259 1.304 0.922
0.000 0.000 0.000
6.778 3.913 2.767
4.519 2.609 1.845
```

Energy above the lowest structure with this stoichiometry, meV per atom: 12.6
Magnetic moment, μB/cell: 0.0
SG: F-43m
D(E_F), states/eV per atom: 0.25
Mass density, kg/m³: 13122

***

VASP calculation (GGA-PBE) on a geometry-optimized ScRhW structure.

```
ScRhW
1.0
-0.527 4.529 -4.121
-1.909 2.224 -5.401
-2.635 1.237 0.621
Rh Sc W
1 1 1
Cartesian
-2.438 6.698 -9.422
-2.503 4.886 -6.090
-2.566 3.159 -2.913
```

Energy above the lowest structure with this stoichiometry, meV per atom: 0.0
Magnetic moment, μB/cell: 0.0
SG: I4mm
D(E_F), states/eV per atom: 1.10
Mass density, kg/m³: 10768

***

VASP calculation (GGA-PBE) on a geometry-optimized ScRhW2 structure.

```
ScRhW2
1.0
-2.392 1.435 0.291
-0.657 -2.463 -1.169
-1.123 -3.492 7.985
W Rh Sc
2 1 1
Cartesian
-1.815 -1.418 1.629
-0.011 -0.035 0.081
-0.556 -1.729 3.954
-2.350 -3.083 5.436
```

Energy above the lowest structure with this stoichiometry, meV per atom: 101.0
Magnetic moment, μB/cell: 0.0
SG: Cmm2
D(E_F), states/eV per atom: 1.10
Mass density, kg/m³: 12956

***

VASP calculation (GGA-PBE) on a geometry-optimized Sc2RhW structure.

```
Sc2RhW
1.0
-4.186 -1.003 2.165
2.154 -3.478 2.544
0.654 2.011 2.197
W Rh Sc
1 1 2
Cartesian
-1.766 0.504 2.181
1.404 -0.734 2.370
0.000 0.000 0.000
-1.016 -2.241 2.354
```

Energy above the lowest structure with this stoichiometry, meV per atom: 65.5
Magnetic moment, μB/cell: 0.0
SG: P4/mmm
D(E_F), states/eV per atom: 1.06
Mass density, kg/m³: 8837

***

VASP calculation (GGA-PBE) on a geometry-optimized ScRhW2 structure.

```
ScRhW2
1.0
4.730 0.000 0.000
0.000 2.796 0.001
0.000 1.010 4.986
Rh Sc W
1 1 2
Cartesian
2.365 0.952 1.247
2.365 2.855 3.740
0.000 1.049 4.968
0.000 1.865 2.511
```

Energy above the lowest structure with this stoichiometry, meV per atom: 126.3
Magnetic moment, μB/cell: 0.0
SG: P2/m
D(E_F), states/eV per atom: 0.82
Mass density, kg/m³: 12983

***

VASP calculation (GGA-PBE) on a geometry-optimized ScRhW2 structure.

```
ScRhW2
1.0
-2.864 -4.210 0.740
-1.729 -4.486 -1.834
2.912 -3.934 1.706
Sc W Rh
1 2 1
Cartesian
-0.072 -3.292 0.321
-1.174 -9.967 0.551
2.666 -3.790 1.582
-1.030 -5.829 0.171
```

Energy above the lowest structure with this stoichiometry, meV per atom: 190.2
Magnetic moment, μB/cell: 0.0
SG: Cm
D(E_F), states/eV per atom: 0.88
Mass density, kg/m³: 12712

***

VASP calculation (GGA-PBE) on a geometry-optimized Sc2RhW structure.

```
Sc2RhW
1.0
1.734 0.000 9.513
-0.867 1.501 9.513
-0.867 -1.501 9.513
Rh Sc W
1 2 1
Cartesian
0.000 0.000 14.270
0.000 0.000 25.848
0.000 0.000 2.691
0.000 0.000 0.000
```

Energy above the lowest structure with this stoichiometry, meV per atom: 425.0
Magnetic moment, μB/cell: 0.0
SG: R-3m
D(E_F), states/eV per atom: 0.61
Mass density, kg/m³: 8421

***

VASP calculation (GGA-PBE) on a geometry-optimized Sc2RhW structure.

```
Sc2RhW
1.0
-9.473 1.427 1.365
-9.460 -1.581 1.277
-8.873 -0.149 3.858
Sc W Rh
2 1 1
Cartesian
-0.304 -0.003 0.071
-6.717 -0.073 1.570
-13.721 -0.150 3.208
-20.966 -0.229 4.901
```

Energy above the lowest structure with this stoichiometry, meV per atom: 313.6
Magnetic moment, μB/cell: 0.0
SG: R3m
D(E_F), states/eV per atom: 0.83
Mass density, kg/m³: 8376

***

VASP calculation (GGA-PBE) on a geometry-optimized Sc2RhW structure.

```
Sc2RhW
1.0
5.487 -0.004 0.000
2.759 4.743 0.000
-4.123 -2.370 2.738
Sc Rh W
2 1 1
Cartesian
0.000 0.000 0.000
1.379 2.372 1.369
2.744 -0.002 1.369
4.123 2.370 0.000
```

Energy above the lowest structure with this stoichiometry, meV per atom: 200.6
Magnetic moment, μB/cell: 0.0
SG: I-4m2
D(E_F), states/eV per atom: 1.38
Mass density, kg/m³: 8772

***

VASP calculation (GGA-PBE) on a geometry-optimized ScRhW structure.

```
ScRhW
1.0
-4.127 -1.902 -0.204
3.609 -2.516 1.154
-0.429 0.638 2.733
Sc Rh W
1 1 1
Cartesian
0.889 -2.102 1.600
-0.390 0.581 2.488
-1.875 -1.621 2.328
```

Energy above the lowest structure with this stoichiometry, meV per atom: 172.1
Magnetic moment, μB/cell: 0.0
SG: P3m1
D(E_F), states/eV per atom: 1.13
Mass density, kg/m³: 10828

***

VASP calculation (GGA-PBE) on a geometry-optimized ScRhW2 structure.

```
ScRhW2
1.0
-0.301 -3.132 4.416
-2.645 -4.108 2.353
1.983 -3.796 -0.457
W Rh Sc
2 1 1
Cartesian
1.965 -3.808 -0.430
-0.462 -5.505 3.129
-0.721 -8.276 4.734
-0.240 -2.759 1.578
```

Energy above the lowest structure with this stoichiometry, meV per atom: 30.6
Magnetic moment, μB/cell: 0.0
SG: Immm
D(E_F), states/eV per atom: 0.80
Mass density, kg/m³: 12925

***

VASP calculation (GGA-PBE) on a geometry-optimized Sc2RhW structure.

```
Sc2RhW
1.0
-1.888 1.657 5.051
-3.417 -0.992 4.377
2.059 -2.105 3.605
W Rh Sc
1 1 2
Cartesian
-1.735 -0.678 6.605
-0.738 -0.388 3.201
-2.510 -1.052 9.835
-5.190 0.622 9.337
```

Energy above the lowest structure with this stoichiometry, meV per atom: 21.1
Magnetic moment, μB/cell: 0.0
SG: Imm2
D(E_F), states/eV per atom: 0.91
Mass density, kg/m³: 8766